1.
An optimized crystal structure of Ba4Np6O19. Source: the Alexandria database, functional GGA-PBE.

Properties
Energy relative to the elements, uncorrected   -85.7 eV/f.u.

Cell: 10.2056 10.2056 10.2056 Å, 90.00 90.00 90.00°
Space group I23 (No. 197)
Unique sites:
Ba1 0.1469 0.1469 0.1469 x8
Np1 0.0000 0.1674 0.5000 x12
O1 0.0000 0.0000 0.0000 x2
O2 0.0000 0.0000 0.3695 x12
O3 0.0029 0.2940 0.6708 x24

---

2.
An optimized crystal structure of V3CrMo2. Source: the Alexandria database, functional GGA-PBE.

Properties
DFT formation energy   -0.07 eV per atom
Energy above the lowest structure with this stoichiometry   0.139 eV/f.u.

Cell: 4.3665 9.1218 8.3907 Å, 90.00 90.00 90.00°
Space group Cmmm (No. 65)
Unique sites:
V1 0.0000 0.0000 0.2392 x4
V2 0.0000 0.3302 0.2402 x8
Cr1 0.0000 0.1685 0.0000 x4
Mo1 0.0000 0.1661 0.5000 x4
Mo2 0.0000 0.5000 0.0000 x2
Mo3 0.0000 0.5000 0.5000 x2

---

3.
An optimized crystal structure of LaCd10Au2. Source: the Alexandria database, functional GGA-PBE.

Properties
DFT formation energy   -0.19 eV per atom

Cell: 5.8163 14.1093 14.2558 Å, 90.00 90.00 90.00°
Space group Fmmm (No. 69)
Unique sites:
La1 0.0000 0.0000 0.0000 x4
Cd1 0.0000 0.1085 0.3949 x16
Cd2 0.0000 0.1790 0.1720 x16
Cd3 0.2500 0.0000 0.2500 x8
Au1 0.2500 0.2500 0.0000 x8

---

4.
An optimized crystal structure of Ca2LaTbS4. Source: the Alexandria database, functional GGA-PBE.

Properties
Energy relative to the elements, uncorrected   -16.6 eV/f.u.

Cell: 6.9651 4.0151 7.0491 Å, 90.00 109.15 90.00°
Space group P2/m (No. 10)
Unique sites:
Ca1 0.0000 0.0000 0.0000 x1
Ca2 0.5000 0.5000 0.0000 x1
La1 0.0000 0.5000 0.5000 x1
Tb1 0.5000 0.0000 0.5000 x1
S1 0.2582 0.5000 0.2500 x2
S2 0.2611 0.0000 0.7564 x2

---

no.,uncorrected energy (eV/atom)
1,-9.15
2,-9.85
3,-1.78
4,-5.83